A relaxed CoCuAg2 crystal, computed with PBE-GGA.

Cell: 4.6856 4.6856 4.6856 Å, 129.59 129.59 74.07°
Fractional coordinates of all 4 atoms:
Co  0.0000  0.0000  0.0000
Cu  0.5000  0.5000  0.0000
Ag  0.2500  0.7500  0.5000
Ag  0.7500  0.2500  0.5000

Output
Size of the total moment   1.65 μB/f.u.
Volume   14.89 Å³ per atom
Electronic total energy   -3.85 eV/atom
Formation energy from the elements   1.5 eV per formula unit